Crystalline Ac2Cd5Au3 at its relaxed geometry, computed with PBE.

Output
Raw total energy   -0.20030 Ry per atom
Energy relative to the lowest polymorph listed for this composition   0 meV/atom
Total magnetic moment   0.000 μB per formula unit
Crystal system   orthorhombic

Cell and atoms, written as CIF:
```
data_Ac2Cd5Au3
_chemical_formula_sum 'Ac8 Cd20 Au12'
_space_group_name_H-M_alt 'C m c 21'
_space_group_IT_number 36
_cell_length_a 4.7722
_cell_length_b 27.4511
_cell_length_c 7.7399
_cell_angle_alpha 90.00
_cell_angle_beta 90.00
_cell_angle_gamma 90.00
loop_
_space_group_symop_operation_xyz
'x,y,z'
'-x,-y,z+1/2'
'-x,y,z'
'x,-y,z+1/2'
'x+1/2,y+1/2,z'
'-x+1/2,-y+1/2,z+1/2'
'-x+1/2,y+1/2,z'
'x+1/2,-y+1/2,z+1/2'
loop_
_atom_site_label
_atom_site_type_symbol
_atom_site_fract_x
_atom_site_fract_y
_atom_site_fract_z
Ac1 Ac 0.0000 0.0212 0.0000
Ac2 Ac 0.0000 0.3228 0.9248
Cd1 Cd 0.0000 0.1036 0.6434
Cd2 Cd 0.0000 0.2045 0.1065
Cd3 Cd 0.0000 0.2071 0.7259
Cd4 Cd 0.0000 0.3726 0.4691
Cd5 Cd 0.0000 0.4453 0.8241
Au1 Au 0.0000 0.1104 0.2558
Au2 Au 0.0000 0.2659 0.4134
Au3 Au 0.0000 0.4532 0.2113
```